Compound: Li2ZrTa
Source: Alexandria
Functional: SCAN
Structure: single point on PBEsol structure Values from VASP.

Cell and atoms, written as Quantum ESPRESSO input:
```
&SYSTEM
  ibrav = 0, nat = 4, ntyp = 3
/
ATOMIC_SPECIES
Ta 180.95 Ta.upf
Li 6.94 Li.upf
Zr 91.22 Zr.upf
ATOMIC_POSITIONS angstrom
Ta -0.594 -0.850 2.882
Li -1.348 -2.424 -0.245
Li 0.000 0.000 0.000
Zr 0.857 -2.969 1.810
CELL_PARAMETERS angstrom
-2.799 -0.304 0.827
0.104 -4.543 -1.318
1.611 -1.395 4.937
```

Summary:
Energy: -100.6 eV/cell
Calculated formation energy: 0.375 eV/atom
Space group: Pmmm, No. 47
E above lowest polymorph: 0 meV/atom

Compound: TeH2Ir
Source: Alexandria
Functional: SCAN
Structure: single point on PBEsol structure Values from VASP.

Cell and atoms, written as Quantum ESPRESSO input:
```
&SYSTEM
  ibrav = 0, nat = 8, ntyp = 3
/
ATOMIC_SPECIES
H 1.01 H.upf
Ir 192.22 Ir.upf
Te 127.60 Te.upf
ATOMIC_POSITIONS angstrom
H 0.000 2.969 1.517
Ir 0.000 0.000 0.000
H -0.990 1.979 4.550
H 0.000 0.990 1.517
Te 1.979 1.979 0.000
H 0.990 1.979 4.550
Ir 0.000 1.979 3.034
Te 1.979 0.000 3.034
CELL_PARAMETERS angstrom
3.959 0.000 0.000
0.000 3.959 0.000
-1.979 -1.979 6.067
```

Summary:
Energy: -227.0 eV/cell
Space group: I4_1/amd, No. 141

Compound: CoTcN2O
Source: Alexandria
Functional: SCAN
Structure: single point on PBEsol structure Values from VASP.

Cell and atoms, written as Quantum ESPRESSO input:
```
&SYSTEM
  ibrav = 0, nat = 5, ntyp = 4
/
ATOMIC_SPECIES
O 16.00 O.upf
N 14.01 N.upf
Co 58.93 Co.upf
Tc 98.00 Tc.upf
ATOMIC_POSITIONS angstrom
O -1.711 -0.072 -0.527
N -0.475 -0.582 1.623
N -0.236 1.689 0.537
Co 0.000 0.000 0.000
Tc -2.422 1.035 1.633
CELL_PARAMETERS angstrom
-3.422 -0.144 -1.053
-0.950 -1.164 3.246
-0.472 3.379 1.074
```

Summary:
Energy: -73.7 eV/cell
Space group: P4/mmm, No. 123
Formation energy (no corrections): 16.078 kcal/mol of atoms

Compound: TaMo5
Source: Alexandria
Functional: SCAN
Structure: single point on PBEsol structure Values from VASP.

Cell and atoms, written as Quantum ESPRESSO input:
```
&SYSTEM
  ibrav = 0, nat = 6, ntyp = 2
/
ATOMIC_SPECIES
Mo 95.94 Mo.upf
Ta 180.95 Ta.upf
ATOMIC_POSITIONS angstrom
Mo 2.228 1.287 4.535
Mo 0.000 0.000 0.000
Mo 0.000 2.573 3.650
Ta 0.000 0.000 2.724
Mo 0.000 2.573 0.913
Mo 2.228 1.287 1.797
CELL_PARAMETERS angstrom
4.457 0.000 0.000
-2.228 3.860 0.000
0.000 0.000 5.448
```

Summary:
Energy: -241.5 eV/cell
Calculated formation energy: -0.089 eV/atom
Space group: P-3m1, No. 164
E above lowest polymorph: 7 meV/atom

Compound: Na2SiHg
Source: Alexandria
Functional: SCAN
Structure: single point on PBEsol structure Values from VASP.

Cell and atoms, written as Quantum ESPRESSO input:
```
&SYSTEM
  ibrav = 0, nat = 4, ntyp = 3
/
ATOMIC_SPECIES
Na 22.99 Na.upf
Si 28.09 Si.upf
Hg 200.59 Hg.upf
ATOMIC_POSITIONS angstrom
Na 7.435 4.293 3.035
Si 0.000 0.000 0.000
Hg 4.957 2.862 2.024
Na 2.478 1.431 1.012
CELL_PARAMETERS angstrom
4.957 0.000 0.000
2.478 4.293 0.000
2.478 1.431 4.047
```

Summary:
Energy: -86.1 eV/cell
Space group: Fm-3m, No. 225
Formation energy (no corrections): 3.163 kcal/mol of atoms

Compound: KCaAs2
Source: Alexandria
Functional: SCAN
Structure: single point on PBEsol structure Values from VASP.

Cell and atoms, written as Quantum ESPRESSO input:
```
&SYSTEM
  ibrav = 0, nat = 4, ntyp = 3
/
ATOMIC_SPECIES
Ca 40.08 Ca.upf
K 39.10 K.upf
As 74.92 As.upf
ATOMIC_POSITIONS angstrom
Ca -2.524 -2.029 1.601
K -0.308 0.289 1.608
As 0.426 -2.627 0.554
As -2.642 0.309 -0.562
CELL_PARAMETERS angstrom
-0.616 0.578 3.217
-5.283 0.618 -1.123
0.851 -5.254 1.108
```

Summary:
Energy: -60.6 eV/cell
Calculated formation energy: -0.553 eV/atom
Space group: Cmmm, No. 65
E above lowest polymorph: 289 meV/atom